## Ta2TlPt (GGA-PBE)

Data for a geometry-optimized Ta2TlPt structure.

Lattice parameters (Å, degrees): 4.059 4.059 8.872 90.00 90.00 90.00
Space group I4/mmm (No. 139)
Asymmetric unit:
Ta  0.000  0.500  0.250 (multiplicity 4)
Tl  0.000  0.000  0.000 (multiplicity 2)
Pt  0.000  0.000  0.500 (multiplicity 2)

Summary:
Mass density ... 17.30 g cm⁻³
Uncorrected energy ... -63.7 eV for the cell shown
Calculated volume ... 18.3 Å³/atom
Energy above the most stable polymorph in this dataset ... 51.6 meV/atom
DFT formation energy ... 0.0646 eV per atom